# AgGeBr4, relaxed, DFT PBE
# **Magnetic moment**: 0.00 μB per formula unit
# **Raw formation energy**: -2.21 eV per formula unit
# **Crystal system**: monoclinic
data_AgGeBr4
_chemical_formula_sum 'Ag4 Ge4 Br16'
_cell_length_a 10.943
_cell_length_b 7.703
_cell_length_c 10.944
_cell_angle_alpha 90.00
_cell_angle_beta 94.25
_cell_angle_gamma 90.00
_symmetry_space_group_name_H-M 'C 1 2/c 1'
_symmetry_Int_Tables_number 15
_symmetry_space_group_name_Hall '-C 2yc'
loop_
_atom_site_label
_atom_site_fract_x
_atom_site_fract_y
_atom_site_fract_z
Ag1 0.250 0.250 0.000
Ge1 0.000 0.102 0.750
Br1 0.020 0.310 0.932
Br2 0.185 0.079 0.246